Density functional theory data (GGA-PBE) for crystalline Hf2InCuAg at its relaxed geometry.

CIF file:
```
data_Hf2InCuAg
_chemical_formula_sum 'Hf2 In1 Cu1 Ag1'
_cell_length_a 5.1173
_cell_length_b 5.1173
_cell_length_c 4.9667
_cell_angle_alpha 90.00
_cell_angle_beta 90.00
_cell_angle_gamma 90.00
_symmetry_space_group_name_H-M 'P 4/m m m'
_symmetry_Int_Tables_number 123
_symmetry_space_group_name_Hall '-P 4 2'
loop_
_atom_site_label
_atom_site_type_symbol
_atom_site_fract_x
_atom_site_fract_y
_atom_site_fract_z
Hf1 Hf 0.0000 0.5000 0.0000
In1 In 0.0000 0.0000 0.5000
Cu1 Cu 0.5000 0.5000 0.5000
Ag1 Ag 0.0000 0.0000 0.0000
```

Results
As for the energy relative to the elements: 1.121 eV/atom.



Density functional theory data (GGA-PBE) for crystalline Tl2TeF8 at its relaxed geometry.

CIF file:
```
data_Tl2TeF8
_chemical_formula_sum 'Tl4 Te2 F16'
_cell_length_a 16.2420
_cell_length_b 3.8794
_cell_length_c 5.4242
_cell_angle_alpha 90.00
_cell_angle_beta 104.94
_cell_angle_gamma 90.00
_symmetry_space_group_name_H-M 'C 1 2/m 1'
_symmetry_Int_Tables_number 12
loop_
_symmetry_equiv_pos_as_xyz
'x,y,z'
'-x,-y,-z'
'-x,y,-z'
'x,-y,z'
'x+1/2,y+1/2,z'
'-x+1/2,-y+1/2,-z'
'-x+1/2,y+1/2,-z'
'x+1/2,-y+1/2,z'
loop_
_atom_site_label
_atom_site_type_symbol
_atom_site_fract_x
_atom_site_fract_y
_atom_site_fract_z
Tl1 Tl 0.1703 0.0000 0.1511
Te1 Te 0.0000 0.5000 0.5000
F1 F 0.0138 0.0000 0.2922
F2 F 0.0918 0.5000 0.8667
F3 F 0.1202 0.5000 0.4007
F4 F 0.2378 0.0000 0.7918
```

Results
The formation energy from raw total energies is -1791 meV/atom.



Density functional theory data (GGA-PBE) for crystalline Cs12K5Cl2 at its relaxed geometry.

CIF file:
```
data_Cs12K5Cl2
_chemical_formula_sum 'Cs24 K10 Cl4'
_cell_length_a 27.4428
_cell_length_b 10.9718
_cell_length_c 12.8708
_cell_angle_alpha 90.00
_cell_angle_beta 117.70
_cell_angle_gamma 90.00
_symmetry_space_group_name_H-M 'C 1 2/m 1'
_symmetry_Int_Tables_number 12
loop_
_symmetry_equiv_pos_as_xyz
'x,y,z'
'-x,-y,-z'
'-x,y,-z'
'x,-y,z'
'x+1/2,y+1/2,z'
'-x+1/2,-y+1/2,-z'
'-x+1/2,y+1/2,-z'
'x+1/2,-y+1/2,z'
loop_
_atom_site_label
_atom_site_type_symbol
_atom_site_fract_x
_atom_site_fract_y
_atom_site_fract_z
Cs1 Cs 0.0017 0.0000 0.2998
Cs2 Cs 0.0030 0.5000 0.3337
Cs3 Cs 0.1389 0.2266 0.1378
Cs4 Cs 0.1445 0.2420 0.6482
K1 K 0.0000 0.5000 0.0000
K2 K 0.2388 0.5000 0.9967
K3 K 0.2396 0.5000 0.4821
Cl1 Cl 0.0000 0.2362 0.5000
```

Results
The formation energy from raw total energies is -364 meV/atom.



Density functional theory data (GGA-PBE) for crystalline CoHgSeN2 at its relaxed geometry.

CIF file:
```
data_CoHgSeN2
_chemical_formula_sum 'Co1 Hg1 Se1 N2'
_cell_length_a 4.0789
_cell_length_b 4.0789
_cell_length_c 6.0919
_cell_angle_alpha 90.00
_cell_angle_beta 90.00
_cell_angle_gamma 90.00
_symmetry_space_group_name_H-M 'P 4/m m m'
_symmetry_Int_Tables_number 123
_symmetry_space_group_name_Hall '-P 4 2'
loop_
_atom_site_label
_atom_site_type_symbol
_atom_site_fract_x
_atom_site_fract_y
_atom_site_fract_z
Co1 Co 0.0000 0.0000 0.0000
Hg1 Hg 0.5000 0.5000 0.5000
Se1 Se 0.5000 0.5000 0.0000
N1 N 0.0000 0.5000 0.5000
```

Results
The formation energy from raw total energies is 2193 meV/atom. The energy above the most stable polymorph in this dataset comes out at 1141 meV/atom.



Density functional theory data (GGA-PBE) for crystalline CaTb2Br8 at its relaxed geometry.

CIF file:
```
data_CaTb2Br8
_chemical_formula_sum 'Ca2 Tb4 Br16'
_cell_length_a 18.7302
_cell_length_b 7.5104
_cell_length_c 7.2732
_cell_angle_alpha 90.00
_cell_angle_beta 96.29
_cell_angle_gamma 90.00
_symmetry_space_group_name_H-M 'C 1 2/m 1'
_symmetry_Int_Tables_number 12
loop_
_symmetry_equiv_pos_as_xyz
'x,y,z'
'-x,-y,-z'
'-x,y,-z'
'x,-y,z'
'x+1/2,y+1/2,z'
'-x+1/2,-y+1/2,-z'
'-x+1/2,y+1/2,-z'
'x+1/2,-y+1/2,z'
loop_
_atom_site_label
_atom_site_type_symbol
_atom_site_fract_x
_atom_site_fract_y
_atom_site_fract_z
Ca1 Ca 0.0000 0.0000 0.0000
Tb1 Tb 0.1481 0.0000 0.4581
Br1 Br 0.0683 0.2534 0.2672
Br2 Br 0.1353 0.0000 0.8255
Br3 Br 0.2164 0.5000 0.6164
```

Results
The formation energy from raw total energies is -1790 meV/atom.



Density functional theory data (GGA-PBE) for crystalline Cd2SbO at its relaxed geometry.

CIF file:
```
data_Cd2SbO
_chemical_formula_sum 'Cd8 Sb4 O4'
_cell_length_a 6.0375
_cell_length_b 6.0375
_cell_length_c 10.8068
_cell_angle_alpha 90.00
_cell_angle_beta 90.00
_cell_angle_gamma 90.00
_symmetry_space_group_name_H-M 'I -4 2 d'
_symmetry_Int_Tables_number 122
_symmetry_space_group_name_Hall 'I -4 2bw'
loop_
_atom_site_label
_atom_site_type_symbol
_atom_site_fract_x
_atom_site_fract_y
_atom_site_fract_z
Cd1 Cd 0.1595 0.2500 0.1250
Sb1 Sb 0.0000 0.0000 0.5000
O1 O 0.0000 0.0000 0.0000
```

Results
The formation energy from raw total energies is -345 meV/atom. The energy above the most stable polymorph in this dataset comes out at 87 meV/atom.



Density functional theory data (GGA-PBE) for crystalline RbLiAg3 at its relaxed geometry.

CIF file:
```
data_RbLiAg3
_chemical_formula_sum 'Rb1 Li1 Ag3'
_cell_length_a 6.1222
_cell_length_b 6.1222
_cell_length_c 6.1222
_cell_angle_alpha 90.00
_cell_angle_beta 90.00
_cell_angle_gamma 90.00
_symmetry_space_group_name_H-M 'P m -3 m'
_symmetry_Int_Tables_number 221
_symmetry_space_group_name_Hall '-P 4 2 3'
loop_
_atom_site_label
_atom_site_type_symbol
_atom_site_fract_x
_atom_site_fract_y
_atom_site_fract_z
Rb1 Rb 0.0000 0.0000 0.0000
Li1 Li 0.5000 0.5000 0.5000
Ag1 Ag 0.0000 0.0000 0.5000
```

Results
As for the energy relative to the elements: 0.998 eV/atom. The energy above the most stable polymorph in this dataset comes out at 785 meV/atom.



Density functional theory data (GGA-PBE) for crystalline LiCdRe2Se at its relaxed geometry.

CIF file:
```
data_LiCdRe2Se
_chemical_formula_sum 'Li1 Cd1 Re2 Se1'
_cell_length_a 5.0591
_cell_length_b 5.0591
_cell_length_c 4.5335
_cell_angle_alpha 90.00
_cell_angle_beta 90.00
_cell_angle_gamma 90.00
_symmetry_space_group_name_H-M 'P 4/m m m'
_symmetry_Int_Tables_number 123
_symmetry_space_group_name_Hall '-P 4 2'
loop_
_atom_site_label
_atom_site_type_symbol
_atom_site_fract_x
_atom_site_fract_y
_atom_site_fract_z
Li1 Li 0.0000 0.0000 0.0000
Cd1 Cd 0.0000 0.0000 0.5000
Re1 Re 0.0000 0.5000 0.5000
Se1 Se 0.5000 0.5000 0.0000
```

Results
The formation energy from raw total energies is 2105 meV/atom.



Density functional theory data (GGA-PBE) for crystalline Pr2Dy3Se4 at its relaxed geometry.

CIF file:
```
data_Pr2Dy3Se4
_chemical_formula_sum 'Pr4 Dy6 Se8'
_cell_length_a 13.5328
_cell_length_b 4.0575
_cell_length_c 10.0730
_cell_angle_alpha 90.00
_cell_angle_beta 118.58
_cell_angle_gamma 90.00
_symmetry_space_group_name_H-M 'C 1 2/m 1'
_symmetry_Int_Tables_number 12
loop_
_symmetry_equiv_pos_as_xyz
'x,y,z'
'-x,-y,-z'
'-x,y,-z'
'x,-y,z'
'x+1/2,y+1/2,z'
'-x+1/2,-y+1/2,-z'
'-x+1/2,y+1/2,-z'
'x+1/2,-y+1/2,z'
loop_
_atom_site_label
_atom_site_type_symbol
_atom_site_fract_x
_atom_site_fract_y
_atom_site_fract_z
Pr1 Pr 0.0946 0.0000 0.4071
Dy1 Dy 0.0000 0.5000 0.0000
Dy2 Dy 0.2026 0.5000 0.7991
Se1 Se 0.1058 0.0000 0.9079
Se2 Se 0.1956 0.5000 0.2925
```

Results
The formation energy from raw total energies is -1562 meV/atom.



Density functional theory data (GGA-PBE) for crystalline La4CoPt at its relaxed geometry.

CIF file:
```
data_La4CoPt
_chemical_formula_sum 'La16 Co4 Pt4'
_cell_length_a 14.9246
_cell_length_b 7.0977
_cell_length_c 7.2683
_cell_angle_alpha 90.00
_cell_angle_beta 110.60
_cell_angle_gamma 90.00
_symmetry_space_group_name_H-M 'C 1 2/c 1'
_symmetry_Int_Tables_number 15
loop_
_symmetry_equiv_pos_as_xyz
'x,y,z'
'-x,-y,-z'
'-x,y,-z+1/2'
'x,-y,z+1/2'
'x+1/2,y+1/2,z'
'-x+1/2,-y+1/2,-z'
'-x+1/2,y+1/2,-z+1/2'
'x+1/2,-y+1/2,z+1/2'
loop_
_atom_site_label
_atom_site_type_symbol
_atom_site_fract_x
_atom_site_fract_y
_atom_site_fract_z
La1 La 0.1207 0.0475 0.0238
La2 La 0.1319 0.4567 0.6426
Co1 Co 0.2500 0.2500 0.0000
Pt1 Pt 0.0000 0.2686 0.2500
```

Results
As for the energy relative to the elements: -0.444 eV/atom. The energy above the most stable polymorph in this dataset comes out at 0 meV/atom.



Density functional theory data (GGA-PBE) for crystalline ScNiSn2Sb at its relaxed geometry.

CIF file:
```
data_ScNiSn2Sb
_chemical_formula_sum 'Sc1 Ni1 Sn2 Sb1'
_cell_length_a 4.8210
_cell_length_b 4.8210
_cell_length_c 5.4038
_cell_angle_alpha 90.00
_cell_angle_beta 90.00
_cell_angle_gamma 90.00
_symmetry_space_group_name_H-M 'P 4/m m m'
_symmetry_Int_Tables_number 123
_symmetry_space_group_name_Hall '-P 4 2'
loop_
_atom_site_label
_atom_site_type_symbol
_atom_site_fract_x
_atom_site_fract_y
_atom_site_fract_z
Sc1 Sc 0.0000 0.0000 0.0000
Ni1 Ni 0.5000 0.5000 0.5000
Sn1 Sn 0.0000 0.5000 0.5000
Sb1 Sb 0.5000 0.5000 0.0000
```

Results
The formation energy from raw total energies is 72 meV/atom.



no.,size of the total moment (μB per cell),raw total energy (eV per atom)
1,0.00,-4.80
2,0.00,-3.87
3,0.00,-1.39
4,5.57,-3.32
5,0.00,-4.03
6,0.00,-3.07
7,0.00,-1.29
8,6.07,-4.14
9,0.00,-5.71
10,0.00,-5.92
11,0.00,-4.78